[1]
Entry from Alexandria: crystalline CaPO3 at its relaxed geometry (PBE).

Properties
Spin magnetization (μB per cell): 1.0
DOS(E_F) (states/eV per cell): 3.27
ΔE_f (raw) (eV/atom): 0.150
Mass density (g/cm3): 2.7
E_tot (eV per atom): -4.3076
Calculated volume (Å³ per atom): 14.7

Geometry as CIF:
```
data_CaPO3
_chemical_formula_sum 'Ca1 P1 O3'
_cell_length_a 4.189
_cell_length_b 4.189
_cell_length_c 4.189
_cell_angle_alpha 90.00
_cell_angle_beta 90.00
_cell_angle_gamma 90.00
_symmetry_space_group_name_H-M 'P 1'
_symmetry_Int_Tables_number 1
_symmetry_space_group_name_Hall 'P 1'
loop_
_atom_site_label
_atom_site_type_symbol
_atom_site_fract_x
_atom_site_fract_y
_atom_site_fract_z
P1 P 0.500 0.500 0.500
Ca1 Ca 0.000 0.000 0.000
O1 O 0.000 0.500 0.000
O2 O 0.000 0.000 0.500
O3 O 0.500 0.000 0.000
```


[2]
Entry from Alexandria: crystalline NaTl6Cd at its relaxed geometry (PBE).

Properties
Spin magnetization (μB per cell): 0.0
DOS(E_F) (states/eV per cell): 3.38
ΔH_f (0 K) (kJ/mol of atoms): -2
Mass density (g/cm3): 9.6
E_tot (eV per atom): -2.0776
Energy above the most stable polymorph in this dataset (eV/f.u.): 0.00
Calculated volume (Å³ per atom): 29.5

Geometry as CIF:
```
data_NaTl6Cd
_chemical_formula_sum 'Na1 Tl6 Cd1'
_cell_length_a 5.181
_cell_length_b 6.898
_cell_length_c 6.898
_cell_angle_alpha 73.10
_cell_angle_beta 90.00
_cell_angle_gamma 90.00
_symmetry_space_group_name_H-M 'P 1'
_symmetry_Int_Tables_number 1
_symmetry_space_group_name_Hall 'P 1'
loop_
_atom_site_label
_atom_site_type_symbol
_atom_site_fract_x
_atom_site_fract_y
_atom_site_fract_z
Na1 Na 0.500 0.000 0.000
Tl1 Tl 0.000 0.718 0.282
Tl2 Tl 0.000 0.282 0.718
Tl3 Tl 0.000 0.773 0.773
Tl4 Tl 0.000 0.227 0.227
Tl5 Tl 0.500 0.500 0.000
Tl6 Tl 0.500 0.000 0.500
Cd1 Cd 0.500 0.500 0.500
```


[3]
Entry from Alexandria: crystalline Tl3PbBr at its relaxed geometry (PBE).

Properties
Spin magnetization (μB per cell): 0.0
DOS(E_F) (states/eV per cell): 2.37
ΔE_f (raw) (eV/atom): 0.042
Mass density (g/cm3): 6.3
E_tot (eV per atom): -2.4543
Energy above the most stable polymorph in this dataset (eV/f.u.): 0.00
Calculated volume (Å³ per atom): 47.1

Geometry as CIF:
```
data_Tl3PbBr
_chemical_formula_sum 'Tl3 Pb1 Br1'
_cell_length_a 6.175
_cell_length_b 6.175
_cell_length_c 6.175
_cell_angle_alpha 90.00
_cell_angle_beta 90.00
_cell_angle_gamma 90.00
_symmetry_space_group_name_H-M 'P 1'
_symmetry_Int_Tables_number 1
_symmetry_space_group_name_Hall 'P 1'
loop_
_atom_site_label
_atom_site_type_symbol
_atom_site_fract_x
_atom_site_fract_y
_atom_site_fract_z
Pb1 Pb 0.000 0.000 0.000
Tl1 Tl 0.000 0.500 0.000
Tl2 Tl 0.000 0.000 0.500
Tl3 Tl 0.500 0.000 0.000
Br1 Br 0.500 0.500 0.500
```